1.
{"formula": "TmScTe3", "functional": "PBE", "state": "relaxed", "lattice": [[3.6466, -6.5241, 0.0000], [3.6466, 6.5241, 0.0000], [-2.4709, 0.0000, 6.8637]], "species": ["Tm", "Tm", "Sc", "Sc", "Te", "Te", "Te", "Te", "Te", "Te"], "frac_coords": [[0.1614, 0.8386, 0.0000], [0.8386, 0.1614, 0.0000], [0.3358, 0.6642, 0.5000], [0.6642, 0.3358, 0.5000], [0.0725, 0.4230, 0.7405], [0.2638, 0.2638, 0.2555], [0.4230, 0.0725, 0.7405], [0.5770, 0.9275, 0.2595], [0.7362, 0.7362, 0.7445], [0.9275, 0.5770, 0.2595]], "space_group": "C2/m, No. 12", "e_form_raw_mev_per_atom": -1266.6, "magmom_total_mub_per_atom": 0.00, "density_g_cm3": 6.1, "relative_energy_mev_per_atom": 0}

=====

2.
{"formula": "TmScTe3", "functional": "PBE", "state": "relaxed", "lattice": [[2.1261, -10.9362, 0.0000], [2.1261, 10.9362, 0.0000], [0.0000, 0.0000, 7.3685]], "species": ["Tm", "Tm", "Sc", "Sc", "Te", "Te", "Te", "Te", "Te", "Te"], "frac_coords": [[0.1595, 0.8405, 0.5000], [0.8405, 0.1595, 0.0000], [0.3390, 0.6610, 0.5037], [0.6610, 0.3390, 0.0037], [0.0924, 0.9076, 0.8468], [0.2496, 0.7504, 0.1676], [0.4119, 0.5881, 0.8225], [0.5881, 0.4119, 0.3225], [0.7504, 0.2496, 0.6676], [0.9076, 0.0924, 0.3468]], "space_group": "Cmc2_1, No. 36", "e_form_raw_mev_per_atom": -1254.3, "magmom_total_mub_per_atom": 0.00, "density_g_cm3": 5.8, "relative_energy_mev_per_atom": 12}

=====

3.
{"formula": "Tm3ScTe4", "functional": "PBE", "state": "relaxed", "lattice": [[7.4197, 0.0000, 0.0000], [0.0000, 8.4872, 0.0000], [-2.4530, 0.0000, 6.9990]], "species": ["Tm", "Tm", "Tm", "Tm", "Tm", "Tm", "Sc", "Sc", "Te", "Te", "Te", "Te", "Te", "Te", "Te", "Te"], "frac_coords": [[0.0000, 0.1258, 0.2500], [0.0000, 0.3703, 0.7500], [0.0000, 0.6297, 0.2500], [0.0000, 0.8742, 0.7500], [0.5000, 0.3741, 0.2500], [0.5000, 0.6259, 0.7500], [0.5000, 0.1313, 0.7500], [0.5000, 0.8687, 0.2500], [0.2512, 0.3744, 0.5017], [0.2512, 0.6256, 0.0017], [0.2583, 0.1188, 0.0016], [0.2583, 0.8812, 0.5016], [0.7417, 0.1188, 0.4984], [0.7417, 0.8812, 0.9984], [0.7488, 0.3744, 0.9983], [0.7488, 0.6256, 0.4983]], "space_group": "P2/c, No. 13", "e_form_raw_mev_per_atom": -1150.2, "magmom_total_mub_per_atom": 0.00, "density_g_cm3": 8.0, "relative_energy_mev_per_atom": 27}

=====

4.
{"formula": "TmSc2Te", "functional": "PBE", "state": "relaxed", "lattice": [[3.7456, 0.0000, 0.0000], [0.0000, 3.7456, 0.0000], [0.0000, 0.0000, 7.0959]], "species": ["Tm", "Sc", "Sc", "Te"], "frac_coords": [[0.0000, 0.0000, 0.0000], [0.5000, 0.5000, 0.2736], [0.5000, 0.5000, 0.7264], [0.0000, 0.0000, 0.5000]], "space_group": "P4/mmm, No. 123", "e_form_raw_mev_per_atom": -492.9, "magmom_total_mub_per_atom": 0.00, "density_g_cm3": 6.4, "relative_energy_mev_per_atom": 135}

=====

5.
{"formula": "Tm2ScTe", "functional": "PBE", "state": "relaxed", "lattice": [[5.8637, -1.8983, 0.0000], [5.8637, 1.8983, 0.0000], [-3.5638, 0.0000, 9.7707]], "species": ["Tm", "Tm", "Tm", "Tm", "Sc", "Sc", "Te", "Te"], "frac_coords": [[0.1034, 0.1034, 0.1521], [0.1477, 0.1477, 0.6355], [0.8523, 0.8523, 0.3645], [0.8966, 0.8966, 0.8479], [0.3540, 0.3540, 0.0959], [0.6460, 0.6460, 0.9041], [0.4234, 0.4234, 0.6252], [0.5766, 0.5766, 0.3748]], "space_group": "C2/m, No. 12", "e_form_raw_mev_per_atom": -602.8, "magmom_total_mub_per_atom": 0.00, "density_g_cm3": 7.8, "relative_energy_mev_per_atom": 0}

=====

6.
{"formula": "TmSc5Te4", "functional": "PBE", "state": "relaxed", "lattice": [[8.6477, 0.0000, 0.0000], [0.0000, 9.3485, 0.0000], [0.0000, 0.0000, 7.0371]], "species": ["Tm", "Tm", "Sc", "Sc", "Sc", "Sc", "Sc", "Sc", "Sc", "Sc", "Sc", "Sc", "Te", "Te", "Te", "Te", "Te", "Te", "Te", "Te"], "frac_coords": [[0.2500, 0.2500, 0.1423], [0.7500, 0.7500, 0.8577], [0.0636, 0.0505, 0.7656], [0.0636, 0.4495, 0.7656], [0.2500, 0.7500, 0.7976], [0.4364, 0.0505, 0.7656], [0.4364, 0.4495, 0.7656], [0.5636, 0.5505, 0.2344], [0.5636, 0.9495, 0.2344], [0.7500, 0.2500, 0.2024], [0.9364, 0.5505, 0.2344], [0.9364, 0.9495, 0.2344], [0.0072, 0.2500, 0.4508], [0.2500, 0.5541, 0.0945], [0.2500, 0.9459, 0.0945], [0.4928, 0.2500, 0.4508], [0.5072, 0.7500, 0.5492], [0.7500, 0.0541, 0.9055], [0.7500, 0.4459, 0.9055], [0.9928, 0.7500, 0.5492]], "space_group": "Pmmn, No. 59", "e_form_raw_mev_per_atom": -688.1, "magmom_total_mub_per_atom": 0.00, "density_g_cm3": 5.3}